Record 1
! VFePCl2 PBE relaxed; values from VASP
! * N(E_F): 8.49 states/eV/f.u.
! * magnetization: 0.005 μB per cell
! * offset from the most stable computed form: 1.94 eV per formula unit
! * total DFT energy (no corrections): -4.6590 eV per atom
! * volume: 91 Å³/cell
&SYSTEM
  ibrav = 0, nat = 5, ntyp = 4
/
ATOMIC_SPECIES
V 50.94 V.upf
Cl 35.45 Cl.upf
Fe 55.84 Fe.upf
P 30.97 P.upf
ATOMIC_POSITIONS crystal
V 0.500 0.500 0.500
Cl 0.500 0.000 0.000
Cl 0.000 0.500 0.000
Fe 0.000 0.000 0.000
P 0.000 0.000 0.500
CELL_PARAMETERS angstrom
4.579 0.000 0.000
0.000 4.579 0.000
0.000 0.000 4.362

Record 2
! VFePCl2 PBE relaxed; values from VASP
! * N(E_F): 7.89 states/eV/f.u.
! * magnetization: 5.542 μB per cell
! * offset from the most stable computed form: 0.00 eV per formula unit
! * total DFT energy (no corrections): -5.0479 eV per atom
! * volume: 106 Å³/cell
&SYSTEM
  ibrav = 0, nat = 5, ntyp = 4
/
ATOMIC_SPECIES
Cl 35.45 Cl.upf
V 50.94 V.upf
Fe 55.84 Fe.upf
P 30.97 P.upf
ATOMIC_POSITIONS crystal
Cl 0.500 0.000 0.000
Cl 0.000 0.500 0.000
V 0.000 0.000 0.000
Fe 0.500 0.500 0.500
P 0.000 0.000 0.500
CELL_PARAMETERS angstrom
4.658 0.000 0.000
0.000 4.658 0.000
0.000 0.000 4.883

Record 3
! FeP2WCl PBE relaxed; values from VASP
! * N(E_F): 8.23 states/eV/f.u.
! * magnetization: 3.850 μB per cell
! * offset from the most stable computed form: 0.00 eV per formula unit
! * total DFT energy (no corrections): -5.9654 eV per atom
! * volume: 107 Å³/cell
&SYSTEM
  ibrav = 0, nat = 5, ntyp = 4
/
ATOMIC_SPECIES
P 30.97 P.upf
Cl 35.45 Cl.upf
W 183.84 W.upf
Fe 55.84 Fe.upf
ATOMIC_POSITIONS crystal
P 0.000 0.500 0.000
P 0.500 0.000 0.000
Cl 0.000 0.000 0.500
W 0.000 0.000 0.000
Fe 0.500 0.500 0.500
CELL_PARAMETERS angstrom
4.699 0.000 0.000
0.000 4.699 0.000
0.000 0.000 4.850

Record 4
! FeP2WCl PBE relaxed; values from VASP
! * N(E_F): 4.74 states/eV/f.u.
! * magnetization: 3.624 μB per cell
! * offset from the most stable computed form: 1.27 eV per formula unit
! * total DFT energy (no corrections): -5.7120 eV per atom
! * volume: 85 Å³/cell
&SYSTEM
  ibrav = 0, nat = 5, ntyp = 4
/
ATOMIC_SPECIES
W 183.84 W.upf
Fe 55.84 Fe.upf
P 30.97 P.upf
Cl 35.45 Cl.upf
ATOMIC_POSITIONS crystal
W 0.500 0.500 0.500
Fe 0.000 0.000 0.000
P 0.000 0.500 0.000
P 0.500 0.000 0.000
Cl 0.000 0.000 0.500
CELL_PARAMETERS angstrom
-3.846 0.456 -1.832
-0.250 -4.244 -0.532
-2.028 -0.401 4.158

Record 5
! ZrFeP2Cl PBE relaxed; values from VASP
! * N(E_F): 7.09 states/eV/f.u.
! * magnetization: 3.818 μB per cell
! * offset from the most stable computed form: 1.57 eV per formula unit
! * total DFT energy (no corrections): -5.5193 eV per atom
! * volume: 126 Å³/cell
&SYSTEM
  ibrav = 0, nat = 5, ntyp = 4
/
ATOMIC_SPECIES
Zr 91.22 Zr.upf
Fe 55.84 Fe.upf
P 30.97 P.upf
Cl 35.45 Cl.upf
ATOMIC_POSITIONS crystal
Zr 0.000 0.000 0.000
Fe 0.500 0.500 0.500
P 0.000 0.500 0.000
P 0.500 0.000 0.000
Cl 0.000 0.000 0.500
CELL_PARAMETERS angstrom
-4.161 2.819 0.640
-2.845 -4.192 -0.034
0.494 -0.374 4.865

Record 6
! ZrFeP2Cl PBE relaxed; values from VASP
! * N(E_F): 4.08 states/eV/f.u.
! * magnetization: 1.580 μB per cell
! * offset from the most stable computed form: 0.00 eV per formula unit
! * total DFT energy (no corrections): -5.8336 eV per atom
! * volume: 88 Å³/cell
&SYSTEM
  ibrav = 0, nat = 5, ntyp = 4
/
ATOMIC_SPECIES
Cl 35.45 Cl.upf
P 30.97 P.upf
Zr 91.22 Zr.upf
Fe 55.84 Fe.upf
ATOMIC_POSITIONS crystal
Cl 0.000 0.000 0.500
P 0.500 0.000 0.000
P 0.000 0.500 0.000
Zr 0.500 0.500 0.500
Fe 0.000 0.000 0.000
CELL_PARAMETERS angstrom
4.379 0.000 0.000
0.000 4.379 0.000
0.000 0.000 4.568